# CaPuTlI6

Crystalline CaPuTlI6 at its relaxed geometry (PBE-GGA, Alexandria via LeMat-Bulk).

Lattice parameters (Å, degrees): 8.0540 8.0540 15.2506 90.00 90.00 120.00
Last column: nearest neighbours and their distance in Å.
Sites, in units of the cell vectors:
Ca (0.3333, 0.6667, 0.2500)  6 I 3.15
Ca (0.6667, 0.3333, 0.7500)  6 I 3.15
Pu (0.6667, 0.3333, 0.2500)  6 I 3.11
Pu (0.3333, 0.6667, 0.7500)  6 I 3.11
Tl (0.0000, 0.0000, 0.0000)  6 I 3.56
Tl (0.0000, 0.0000, 0.5000)  6 I 3.56
I (0.6391, 0.6357, 0.1332)  1 Pu 3.11, 1 Ca 3.15
I (0.9966, 0.3609, 0.1332)  1 Pu 3.11, 1 Ca 3.15
I (0.3609, 0.9966, 0.6332)  1 Pu 3.11, 1 Ca 3.15
I (0.0034, 0.6391, 0.8668)  1 Pu 3.11, 1 Ca 3.15
I (0.3643, 0.3609, 0.3668)  1 Pu 3.11, 1 Ca 3.15
I (0.9966, 0.6357, 0.3668)  1 Pu 3.11, 1 Ca 3.15
I (0.6357, 0.9966, 0.8668)  1 Pu 3.11, 1 Ca 3.15
I (0.6391, 0.0034, 0.3668)  1 Pu 3.11, 1 Ca 3.15
I (0.0034, 0.3643, 0.6332)  1 Pu 3.11, 1 Ca 3.15
I (0.3643, 0.0034, 0.1332)  1 Pu 3.11, 1 Ca 3.15
I (0.6357, 0.6391, 0.6332)  1 Pu 3.11, 1 Ca 3.15
I (0.3609, 0.3643, 0.8668)  1 Pu 3.11, 1 Ca 3.15

Calculated values
Size of the total moment ... 5.000 μB/f.u.
V ... 47.6 Å³ per atom
Crystal system ... trigonal
ΔE_f (raw) ... -1.15 eV/atom